## Li8Hg4O11 (PBE)

Data for a geometry-optimized Li8Hg4O11 structure.

Summary:
uncorrected energy: -4.02 eV per atom

The structure in POSCAR format:
```
Li8Hg4O11
1.0
10.0388 2.8373 4.2503
-3.0989 -3.7624 2.2378
1.9351 -2.5431 -4.1116
Hg Li O
4 8 11
direct
0.9173 0.1544 0.0089
0.5869 0.8393 0.0195
0.4122 0.1445 0.9879
0.0915 0.8730 0.9992
0.7614 0.5004 0.0238
0.1794 0.7551 0.4893
0.5021 0.0021 0.5005
0.6732 0.6578 0.5031
0.8387 0.3141 0.5153
0.9776 0.9584 0.5210
0.3502 0.3711 0.5337
0.2170 0.4942 0.8908
0.3168 0.8909 0.2398
0.9844 0.5842 0.2607
0.8194 0.9159 0.2705
0.4841 0.5633 0.2725
0.6566 0.2498 0.2887
0.3403 0.7464 0.6878
0.1877 0.1089 0.7167
0.0198 0.3742 0.7412
0.5214 0.4204 0.7471
0.8463 0.7316 0.7495
0.6765 0.0712 0.7509
```